[1]
Here is an optimized crystal structure of SbTe2 from the Alexandria database. Energies are from PBEsol.

## Properties
* calculated total energy: -11.757 eV/cell
* M_tot: 0.0 μB per formula unit
* uncorrected formation energy: -0.0490 eV per atom

```
data_SbTe2
_cell_length_a 4.328
_cell_length_b 4.328
_cell_length_c 5.668
_cell_angle_alpha 90.00
_cell_angle_beta 90.00
_cell_angle_gamma 120.00
_symmetry_space_group_name_H-M 'P 1'
_symmetry_Int_Tables_number 1
loop_
_symmetry_equiv_pos_as_xyz
'x,y,z'
loop_
_atom_site_label
_atom_site_type_symbol
_atom_site_fract_x
_atom_site_fract_y
_atom_site_fract_z
Sb1 Sb 0.000 0.000 0.000
Te1 Te 0.333 0.667 0.313
Te2 Te 0.667 0.333 0.687
```


[2]
Here is an optimized crystal structure of SbTe5 from the Alexandria database. Energies are from PBEsol.

## Properties
* calculated total energy: -21.028 eV/cell
* M_tot: 0.0 μB per formula unit
* uncorrected formation energy: 0.1934 eV per atom

```
data_SbTe5
_cell_length_a 6.249
_cell_length_b 6.249
_cell_length_c 5.591
_cell_angle_alpha 90.00
_cell_angle_beta 90.00
_cell_angle_gamma 131.70
_symmetry_space_group_name_H-M 'P 1'
_symmetry_Int_Tables_number 1
loop_
_symmetry_equiv_pos_as_xyz
'x,y,z'
loop_
_atom_site_label
_atom_site_type_symbol
_atom_site_fract_x
_atom_site_fract_y
_atom_site_fract_z
Sb1 Sb 0.000 0.000 0.000
Te1 Te 0.165 0.835 0.500
Te2 Te 0.341 0.659 0.000
Te3 Te 0.500 0.500 0.500
Te4 Te 0.659 0.341 0.000
Te5 Te 0.835 0.165 0.500
```


[3]
Here is an optimized crystal structure of TiSbTe2 from the Alexandria database. Energies are from PBEsol.

## Properties
* calculated total energy: -21.396 eV/cell
* M_tot: 0.0 μB per formula unit
* uncorrected formation energy: -0.3661 eV per atom

```
data_TiSbTe2
_cell_length_a 9.805
_cell_length_b 9.805
_cell_length_c 9.805
_cell_angle_alpha 21.15
_cell_angle_beta 21.15
_cell_angle_gamma 21.15
_symmetry_space_group_name_H-M 'P 1'
_symmetry_Int_Tables_number 1
loop_
_symmetry_equiv_pos_as_xyz
'x,y,z'
loop_
_atom_site_label
_atom_site_type_symbol
_atom_site_fract_x
_atom_site_fract_y
_atom_site_fract_z
Ti1 Ti 0.000 0.000 0.000
Sb1 Sb 0.500 0.500 0.500
Te1 Te 0.394 0.394 0.394
Te2 Te 0.606 0.606 0.606
```


[4]
Here is an optimized crystal structure of TiSbTe2W from the Alexandria database. Energies are from PBEsol.

## Properties
* calculated total energy: -27.869 eV/cell
* M_tot: 4.0 μB per formula unit
* uncorrected formation energy: 1.1740 eV per atom

```
data_TiSbTe2W
_cell_length_a 5.130
_cell_length_b 5.130
_cell_length_c 5.186
_cell_angle_alpha 90.00
_cell_angle_beta 90.00
_cell_angle_gamma 90.00
_symmetry_space_group_name_H-M 'P 1'
_symmetry_Int_Tables_number 1
loop_
_symmetry_equiv_pos_as_xyz
'x,y,z'
loop_
_atom_site_label
_atom_site_type_symbol
_atom_site_fract_x
_atom_site_fract_y
_atom_site_fract_z
Ti1 Ti 0.000 0.000 0.000
Sb1 Sb 0.000 0.000 0.500
Te1 Te 0.000 0.500 0.000
Te2 Te 0.500 0.000 0.000
W1 W 0.500 0.500 0.500
```


[5]
Here is an optimized crystal structure of TiZnSbTe2 from the Alexandria database. Energies are from PBEsol.

## Properties
* calculated total energy: -18.287 eV/cell
* M_tot: 2.1 μB per formula unit
* uncorrected formation energy: 0.6453 eV per atom

```
data_TiZnSbTe2
_cell_length_a 5.255
_cell_length_b 5.255
_cell_length_c 4.930
_cell_angle_alpha 90.00
_cell_angle_beta 90.00
_cell_angle_gamma 90.00
_symmetry_space_group_name_H-M 'P 1'
_symmetry_Int_Tables_number 1
loop_
_symmetry_equiv_pos_as_xyz
'x,y,z'
loop_
_atom_site_label
_atom_site_type_symbol
_atom_site_fract_x
_atom_site_fract_y
_atom_site_fract_z
Ti1 Ti 0.000 0.000 0.000
Zn1 Zn 0.500 0.500 0.500
Sb1 Sb 0.500 0.500 0.000
Te1 Te 0.000 0.500 0.500
Te2 Te 0.500 0.000 0.500
```


[6]
Here is an optimized crystal structure of TlSb2Te from the Alexandria database. Energies are from PBEsol.

## Properties
* calculated total energy: -15.063 eV/cell
* M_tot: 0.0 μB per formula unit
* uncorrected formation energy: 0.0520 eV per atom

```
data_TlSb2Te
_cell_length_a 6.959
_cell_length_b 6.959
_cell_length_c 5.816
_cell_angle_alpha 113.31
_cell_angle_beta 113.31
_cell_angle_gamma 26.79
_symmetry_space_group_name_H-M 'P 1'
_symmetry_Int_Tables_number 1
loop_
_symmetry_equiv_pos_as_xyz
'x,y,z'
loop_
_atom_site_label
_atom_site_type_symbol
_atom_site_fract_x
_atom_site_fract_y
_atom_site_fract_z
Tl1 Tl 0.000 0.000 0.000
Sb1 Sb 0.253 0.253 0.249
Sb2 Sb 0.747 0.747 0.751
Te1 Te 0.500 0.500 0.500
```


[7]
Here is an optimized crystal structure of Tl9SbTe6 from the Alexandria database. Energies are from PBEsol.

## Properties
* calculated total energy: -53.377 eV/cell
* M_tot: 0.0 μB per formula unit
* uncorrected formation energy: -0.2495 eV per atom

```
data_Tl9SbTe6
_cell_length_a 8.933
_cell_length_b 8.933
_cell_length_c 8.933
_cell_angle_alpha 121.62
_cell_angle_beta 121.62
_cell_angle_gamma 87.22
_symmetry_space_group_name_H-M 'P 1'
_symmetry_Int_Tables_number 1
loop_
_symmetry_equiv_pos_as_xyz
'x,y,z'
loop_
_atom_site_label
_atom_site_type_symbol
_atom_site_fract_x
_atom_site_fract_y
_atom_site_fract_z
Tl1 Tl 0.000 0.000 0.000
Tl2 Tl 0.019 0.508 0.207
Tl3 Tl 0.188 0.980 0.489
Tl4 Tl 0.301 0.812 0.793
Tl5 Tl 0.492 0.699 0.511
Tl6 Tl 0.508 0.301 0.489
Tl7 Tl 0.699 0.188 0.208
Tl8 Tl 0.812 0.019 0.511
Tl9 Tl 0.980 0.492 0.792
Sb1 Sb 0.500 0.500 0.000
Te1 Te 0.174 0.351 0.525
Te2 Te 0.261 0.261 0.000
Te3 Te 0.351 0.826 0.177
Te4 Te 0.649 0.174 0.823
Te5 Te 0.738 0.738 0.000
Te6 Te 0.826 0.649 0.475
```


[8]
Here is an optimized crystal structure of USbTe from the Alexandria database. Energies are from PBEsol.

## Properties
* calculated total energy: -43.173 eV/cell
* M_tot: 2.5 μB per formula unit
* uncorrected formation energy: -0.4482 eV per atom

```
data_USbTe
_cell_length_a 4.241
_cell_length_b 4.241
_cell_length_c 8.788
_cell_angle_alpha 90.00
_cell_angle_beta 90.00
_cell_angle_gamma 90.00
_symmetry_space_group_name_H-M 'P 1'
_symmetry_Int_Tables_number 1
loop_
_symmetry_equiv_pos_as_xyz
'x,y,z'
loop_
_atom_site_label
_atom_site_type_symbol
_atom_site_fract_x
_atom_site_fract_y
_atom_site_fract_z
U1 U 0.250 0.250 0.226
U2 U 0.750 0.750 0.774
Sb1 Sb 0.250 0.750 0.500
Sb2 Sb 0.750 0.250 0.500
Te1 Te 0.250 0.250 0.864
Te2 Te 0.750 0.750 0.136
```


[9]
Here is an optimized crystal structure of ZrSbTe2W from the Alexandria database. Energies are from PBEsol.

## Properties
* calculated total energy: -30.029 eV/cell
* M_tot: 2.5 μB per formula unit
* uncorrected formation energy: 0.8955 eV per atom

```
data_ZrSbTe2W
_cell_length_a 5.211
_cell_length_b 5.211
_cell_length_c 5.190
_cell_angle_alpha 90.00
_cell_angle_beta 90.00
_cell_angle_gamma 90.00
_symmetry_space_group_name_H-M 'P 1'
_symmetry_Int_Tables_number 1
loop_
_symmetry_equiv_pos_as_xyz
'x,y,z'
loop_
_atom_site_label
_atom_site_type_symbol
_atom_site_fract_x
_atom_site_fract_y
_atom_site_fract_z
Zr1 Zr 0.000 0.000 0.000
Sb1 Sb 0.500 0.500 0.000
Te1 Te 0.000 0.500 0.500
Te2 Te 0.500 0.000 0.500
W1 W 0.500 0.500 0.500
```


[10]
Here is an optimized crystal structure of Y2SbTe from the Alexandria database. Energies are from PBEsol.

## Properties
* calculated total energy: -27.044 eV/cell
* M_tot: 0.0 μB per formula unit
* uncorrected formation energy: -1.3290 eV per atom

```
data_Y2SbTe
_cell_length_a 4.311
_cell_length_b 4.311
_cell_length_c 6.084
_cell_angle_alpha 90.00
_cell_angle_beta 90.00
_cell_angle_gamma 90.00
_symmetry_space_group_name_H-M 'P 1'
_symmetry_Int_Tables_number 1
loop_
_symmetry_equiv_pos_as_xyz
'x,y,z'
loop_
_atom_site_label
_atom_site_type_symbol
_atom_site_fract_x
_atom_site_fract_y
_atom_site_fract_z
Y1 Y 0.000 0.000 0.000
Y2 Y 0.500 0.500 0.500
Sb1 Sb 0.000 0.000 0.500
Te1 Te 0.500 0.500 0.000
```


[11]
Here is an optimized crystal structure of Y2SbTe from the Alexandria database. Energies are from PBEsol.

## Properties
* calculated total energy: -27.055 eV/cell
* M_tot: 0.0 μB per formula unit
* uncorrected formation energy: -1.3318 eV per atom

```
data_Y2SbTe
_cell_length_a 7.472
_cell_length_b 7.472
_cell_length_c 7.472
_cell_angle_alpha 33.56
_cell_angle_beta 33.56
_cell_angle_gamma 33.56
_symmetry_space_group_name_H-M 'P 1'
_symmetry_Int_Tables_number 1
loop_
_symmetry_equiv_pos_as_xyz
'x,y,z'
loop_
_atom_site_label
_atom_site_type_symbol
_atom_site_fract_x
_atom_site_fract_y
_atom_site_fract_z
Y1 Y 0.247 0.247 0.247
Y2 Y 0.753 0.753 0.753
Sb1 Sb 0.500 0.500 0.500
Te1 Te 0.000 0.000 0.000
```


[12]
Here is an optimized crystal structure of YSb2Te from the Alexandria database. Energies are from PBEsol.

## Properties
* calculated total energy: -21.525 eV/cell
* M_tot: 0.0 μB per formula unit
* uncorrected formation energy: -0.5156 eV per atom

```
data_YSb2Te
_cell_length_a 4.225
_cell_length_b 4.221
_cell_length_c 6.062
_cell_angle_alpha 90.00
_cell_angle_beta 92.11
_cell_angle_gamma 90.00
_symmetry_space_group_name_H-M 'P 1'
_symmetry_Int_Tables_number 1
loop_
_symmetry_equiv_pos_as_xyz
'x,y,z'
loop_
_atom_site_label
_atom_site_type_symbol
_atom_site_fract_x
_atom_site_fract_y
_atom_site_fract_z
Y1 Y 0.000 0.000 0.000
Sb1 Sb 0.486 0.500 0.759
Sb2 Sb 0.514 0.500 0.241
Te1 Te 0.000 0.000 0.500
```


[13]
Here is an optimized crystal structure of YSbTe2 from the Alexandria database. Energies are from PBEsol.

## Properties
* calculated total energy: -20.054 eV/cell
* M_tot: 0.0 μB per formula unit
* uncorrected formation energy: -0.4056 eV per atom

```
data_YSbTe2
_cell_length_a 9.292
_cell_length_b 9.292
_cell_length_c 9.292
_cell_angle_alpha 24.65
_cell_angle_beta 24.65
_cell_angle_gamma 24.65
_symmetry_space_group_name_H-M 'P 1'
_symmetry_Int_Tables_number 1
loop_
_symmetry_equiv_pos_as_xyz
'x,y,z'
loop_
_atom_site_label
_atom_site_type_symbol
_atom_site_fract_x
_atom_site_fract_y
_atom_site_fract_z
Y1 Y 0.000 0.000 0.000
Sb1 Sb 0.247 0.247 0.247
Te1 Te 0.507 0.507 0.507
Te2 Te 0.734 0.734 0.734
```


[14]
Here is an optimized crystal structure of YSb2Te from the Alexandria database. Energies are from PBEsol.

## Properties
* calculated total energy: -21.310 eV/cell
* M_tot: 0.0 μB per formula unit
* uncorrected formation energy: -0.4617 eV per atom

```
data_YSb2Te
_cell_length_a 5.284
_cell_length_b 5.284
_cell_length_c 3.874
_cell_angle_alpha 90.00
_cell_angle_beta 90.00
_cell_angle_gamma 103.66
_symmetry_space_group_name_H-M 'P 1'
_symmetry_Int_Tables_number 1
loop_
_symmetry_equiv_pos_as_xyz
'x,y,z'
loop_
_atom_site_label
_atom_site_type_symbol
_atom_site_fract_x
_atom_site_fract_y
_atom_site_fract_z
Y1 Y 0.000 0.000 0.000
Sb1 Sb 0.000 0.500 0.500
Sb2 Sb 0.500 0.000 0.500
Te1 Te 0.500 0.500 0.000
```